Record 1
Computed, not measured: a relaxed CdHg3 crystal at the PBE level of DFT.

Cell: 6.3791 4.5496 7.2341 Å, 90.00 90.00 90.00°
Closest atoms and distances in Å follow each position.
Fractional positions:
Hg  0.0000  0.5000  0.3755  4 Cd 3.05-3.20, 4 Hg 3.23
Hg  0.2479  0.0000  0.1460  6 Hg 3.10-3.23, 2 Cd 3.13
Hg  0.7521  0.0000  0.1460  6 Hg 3.10-3.23, 2 Cd 3.13
Hg  0.2521  0.5000  0.8540  6 Hg 3.10-3.23, 2 Cd 3.13
Hg  0.5000  0.0000  0.6245  4 Cd 3.05-3.20, 4 Hg 3.23
Hg  0.7479  0.5000  0.8540  6 Hg 3.10-3.23, 2 Cd 3.13
Cd  0.0000  0.0000  0.6570  8 Hg 3.05-3.20
Cd  0.5000  0.5000  0.3430  8 Hg 3.05-3.20

Results
ΔE to the lowest computed polymorph: 0.087 kcal/mol of atoms
DFT formation energy: 0.09 eV per formula unit
Total magnetic moment: 0.00 μB/f.u.
Raw total energy: -0.433 eV per atom


Record 2
Computed, not measured: a relaxed CdHg5 crystal at the PBE level of DFT.

Cell: 3.1519 3.1519 15.9079 Å, 90.00 90.00 90.00°
Closest atoms and distances in Å follow each position.
Fractional positions:
Hg  0.0000  0.0000  0.3333  12 Hg 3.15-3.52
Hg  0.5000  0.5000  0.1619  12 Hg 3.15-3.52
Hg  0.0000  0.0000  0.9930  8 Hg 3.15-3.49, 4 Cd 3.38
Hg  0.0000  0.0000  0.6736  8 Hg 3.15-3.49, 4 Cd 3.38
Hg  0.5000  0.5000  0.5048  12 Hg 3.15-3.52
Cd  0.5000  0.5000  0.8333  4 Cd 3.15, 8 Hg 3.38

Results
DFT formation energy: 0.17 eV per formula unit
Total magnetic moment: 0.00 μB/f.u.
Raw total energy: -0.375 eV per atom


Record 3
Computed, not measured: a relaxed Cd3Hg4 crystal at the PBE level of DFT.

Cell: 4.1069 4.1069 10.6145 Å, 78.85 78.85 90.00°
Closest atoms and distances in Å follow each position.
Fractional positions:
Cd  0.0000  0.0000  0.0000  10 Hg 2.94-3.25
Cd  0.7139  0.7139  0.5722  6 Hg 2.91-3.24
Cd  0.2861  0.2861  0.4278  6 Hg 2.91-3.24
Hg  0.4285  0.4285  0.1430  5 Cd 2.91-3.25, 1 Hg 2.92
Hg  0.5715  0.5715  0.8570  5 Cd 2.91-3.25, 1 Hg 2.92
Hg  0.8562  0.8562  0.2876  6 Cd 2.91-3.24
Hg  0.1438  0.1438  0.7124  6 Cd 2.91-3.24

Results
ΔE to the lowest computed polymorph: 0.000 kcal/mol of atoms
DFT formation energy: 0.18 eV per formula unit
Total magnetic moment: 0.00 μB/f.u.
Raw total energy: -0.539 eV per atom


- The highest raw total energy belongs to which entry?
  CdHg5